A plane-wave DFT calculation with PBE was carried out for a geometry-optimized Pm2Sm7Ho2 structure.

Unit cell a=9.730 b=9.399 c=8.468 alpha=90.00 beta=103.69 gamma=90.00
Space group C2/m (No. 12)
One atom of each set of equivalent atoms:
Pm1 0.098 0.000 0.343 [4 per cell]
Sm1 0.000 0.500 0.500 [2 per cell]
Sm2 0.197 0.000 0.017 [4 per cell]
Sm3 0.199 0.203 0.684 [8 per cell]
Ho1 0.000 0.310 0.000 [4 per cell]

---

A plane-wave DFT calculation with PBE was carried out for a geometry-optimized PmSm3Ho6 structure.

Unit cell a=11.052 b=18.969 c=6.237 alpha=90.00 beta=90.00 gamma=90.00
Space group Cmc2_1 (No. 36)
One atom of each set of equivalent atoms:
Pm1 0.000 0.204 0.000 [4 per cell]
Sm1 0.000 0.390 0.073 [4 per cell]
Sm2 0.173 0.110 0.681 [8 per cell]
Ho1 0.000 0.045 0.237 [4 per cell]
Ho2 0.000 0.280 0.500 [4 per cell]
Ho3 0.165 0.453 0.605 [8 per cell]
Ho4 0.248 0.289 0.772 [8 per cell]

---

Number 1: energy of formation from the pure elements 0.173 eV/atom. Number 2: energy of formation from the pure elements 0.149 eV/atom.